Computed, not measured: an optimized crystal structure of ZnSb2Pt at the GGA-PBEsol level of DFT.

ρ ... 10.2 g/cm3
Electronic total energy ... -4.539 eV/atom

```
ZnSb2Pt
1.0
3.297 0.000 0.000
0.000 3.297 0.000
0.000 0.000 7.520
Zn Sb Pt
1 2 1
direct
0.000 0.000 0.545
0.500 0.500 0.313
0.000 0.000 0.929
0.500 0.500 0.714
```